(1)
First-principles (PBE+U) data for a relaxed CoBr2O6 crystal, as listed in the Open Quantum Materials Database.

```
data_CoBr2O6
_chemical_formula_sum 'Co1 Br2 O6'
_symmetry_space_group_name_H-M 'P -3 1 m'
_symmetry_Int_Tables_number 162
_symmetry_space_group_name_Hall '-P 3 2'
_cell_length_a 5.0947
_cell_length_b 5.0947
_cell_length_c 4.4671
_cell_angle_alpha 90.00
_cell_angle_beta 90.00
_cell_angle_gamma 120.00
loop_
_atom_site_label
_atom_site_fract_x
_atom_site_fract_y
_atom_site_fract_z
Co1 0.0000 0.0000 0.0000
Br1 0.3333 0.6667 0.5000
O1 0.0000 0.3464 0.2507
```

## Properties
Uncorrected energy   -35.40 eV/cell

(2)
First-principles (PBE+U) data for a relaxed CoSb2Br2O3 crystal, as listed in the Open Quantum Materials Database.

```
data_CoSb2Br2O3
_chemical_formula_sum 'Co2 Sb4 Br4 O6'
_symmetry_space_group_name_H-M 'P -1'
_symmetry_Int_Tables_number 2
_cell_length_a 5.313
_cell_length_b 7.795
_cell_length_c 8.049
_cell_angle_alpha 88.51
_cell_angle_beta 81.65
_cell_angle_gamma 80.64
loop_
_symmetry_equiv_pos_as_xyz
'x,y,z'
'-x,-y,-z'
loop_
_atom_site_label
_atom_site_fract_x
_atom_site_fract_y
_atom_site_fract_z
Co1 0.021 0.483 0.291
Sb1 0.397 0.704 0.974
Sb2 0.432 0.713 0.526
Br1 0.154 0.203 0.783
Br2 0.249 0.126 0.300
O1 0.263 0.489 0.472
O2 0.273 0.643 0.760
O3 0.283 0.483 0.086
```

## Properties
Uncorrected energy   -80.33 eV/cell

(3)
First-principles (PBE+U) data for a relaxed Sr2CoBr2O2 crystal, as listed in the Open Quantum Materials Database.

```
data_Sr2CoBr2O2
_chemical_formula_sum 'Sr4 Co2 Br4 O4'
_symmetry_space_group_name_H-M 'I 4/m m m'
_symmetry_Int_Tables_number 139
_symmetry_space_group_name_Hall '-I 4 2'
_cell_length_a 4.104
_cell_length_b 4.104
_cell_length_c 16.374
_cell_angle_alpha 90.00
_cell_angle_beta 90.00
_cell_angle_gamma 90.00
loop_
_atom_site_label
_atom_site_fract_x
_atom_site_fract_y
_atom_site_fract_z
Sr1 0.000 0.000 0.099
Co1 0.000 0.000 0.500
Br1 0.000 0.000 0.322
O1 0.000 0.500 0.000
```

## Properties
Uncorrected energy   -71.50 eV/cell

(4)
First-principles (PBE+U) data for a relaxed Co3Te2Br2O6 crystal, as listed in the Open Quantum Materials Database.

```
data_Co3Te2Br2O6
_chemical_formula_sum 'Co6 Te4 Br4 O12'
_symmetry_space_group_name_H-M 'C 1 2/m 1'
_symmetry_Int_Tables_number 12
_cell_length_a 9.430
_cell_length_b 6.402
_cell_length_c 7.990
_cell_angle_alpha 90.00
_cell_angle_beta 110.52
_cell_angle_gamma 90.00
loop_
_symmetry_equiv_pos_as_xyz
'x,y,z'
'-x,-y,-z'
'-x,y,-z'
'x,-y,z'
'x+1/2,y+1/2,z'
'-x+1/2,-y+1/2,-z'
'-x+1/2,y+1/2,-z'
'x+1/2,-y+1/2,z'
loop_
_atom_site_label
_atom_site_fract_x
_atom_site_fract_y
_atom_site_fract_z
Co1 0.000 0.000 0.000
Co2 0.074 0.500 0.849
Te1 0.158 0.000 0.726
Br1 0.218 0.500 0.635
O1 0.084 0.195 0.858
O2 0.137 0.500 0.128
```

## Properties
Uncorrected energy   -133.21 eV/cell